Here is a relaxed structure of MnV2MoO from Alexandria. Energies are from PBE+U.

Geometry as extended XYZ:
```
5
Lattice="5.243 0.000 0.000 0.000 3.616 0.000 0.000 0.000 5.243" Properties=species:S:1:pos:R:3 pbc="T T T"
V 0.000 0.000 2.622
V 2.622 0.000 0.000
Mn 0.000 0.000 0.000
Mo 2.622 1.808 2.622
O 0.000 1.808 0.000
```

Output
Space group: P4/mmm (123)
DFT total energy, eV for the cell shown: -29.10